The following is a DFT calculation (PBE) of RhW5 after structural relaxation.

Results
- Space group: Cmmm
- DFT total energy: -11.899 eV per atom
- Crystal system: orthorhombic
- Formation energy: 70 kJ/mol of formula units
- Total moment: 0.00 μB/cell

abc: 7.0410 7.0410 3.2219
angles: 90.00 90.00 143.13
Fractional positions:
Rh 0.0000 0.0000 0.0000
W 0.1692 0.8308 0.5000
W 0.3369 0.6631 0.0000
W 0.5000 0.5000 0.5000
W 0.6631 0.3369 0.0000
W 0.8308 0.1692 0.5000